1.
A relaxed CeNdSm2Ho crystal. Source: the Alexandria database, functional PBE. Values from VASP.

```
&SYSTEM
  ibrav = 0, nat = 10, ntyp = 4
/
ATOMIC_SPECIES
Ho 164.93 Ho.upf
Nd 144.24 Nd.upf
Ce 140.12 Ce.upf
Sm 150.36 Sm.upf
CELL_PARAMETERS angstrom
7.198 0.000 0.000
0.000 7.669 1.422
0.000 -1.090 5.880
ATOMIC_POSITIONS crystal
Ho 0.391 0.000 0.750
Ho 0.609 0.000 0.250
Nd 0.838 0.500 0.250
Nd 0.162 0.500 0.750
Ce 0.000 0.000 0.000
Ce 0.000 0.000 0.500
Sm 0.316 0.710 0.250
Sm 0.316 0.290 0.250
Sm 0.684 0.710 0.750
Sm 0.684 0.290 0.750
```


2.
! AcPPd, relaxed, DFT PBE; values from VASP
&SYSTEM
  ibrav = 0, nat = 3, ntyp = 3
/
ATOMIC_SPECIES
Ac 227.00 Ac.upf
P 30.97 P.upf
Pd 106.42 Pd.upf
CELL_PARAMETERS angstrom
-0.775 3.557 -2.216
-4.111 -1.084 -0.303
1.634 0.826 4.853
ATOMIC_POSITIONS crystal
Ac 0.621 0.621 0.241
P 0.976 0.976 0.951
Pd 0.254 0.254 0.507
! Energy above the most stable polymorph in this dataset   0.527 eV/atom


| no. | formation enthalpy at 0 K (meV/atom) | uncorrected energy (Ry/atom) |
| --- | --- | --- |
| 1 | 273 | -0.3433 |
| 2 | -704 | -0.4121 |